Record 1
Here is a geometry-optimized Ba2SiCl structure from the Alexandria database. Energies are from PBE-GGA.

CIF file:
```
data_Ba2SiCl
_chemical_formula_sum 'Ba4 Si2 Cl2'
_cell_length_a 8.2971
_cell_length_b 8.2961
_cell_length_c 3.7623
_cell_angle_alpha 90.00
_cell_angle_beta 90.15
_cell_angle_gamma 90.00
_space_group_name_H-M_alt 'C 1 2/m 1'
_space_group_IT_number 12
loop_
_space_group_symop_operation_xyz
'x,y,z'
'-x,-y,-z'
'-x,y,-z'
'x,-y,z'
'x+1/2,y+1/2,z'
'-x+1/2,-y+1/2,-z'
'-x+1/2,y+1/2,-z'
'x+1/2,-y+1/2,z'
loop_
_atom_site_label
_atom_site_type_symbol
_atom_site_fract_x
_atom_site_fract_y
_atom_site_fract_z
Ba1 Ba 0.2500 0.2500 0.0000
Si1 Si 0.0000 0.0000 0.5000
Cl1 Cl 0.0000 0.5000 0.5000
```

formation energy without anion corrections: -0.977 eV per atom
ΔE to the lowest computed polymorph: 0.092 eV per atom
theoretical density: 4.337 g/cm3
total magnetic moment: 0.000 μB per atom



Record 2
Here is a geometry-optimized SnP structure from the Alexandria database. Energies are from PBE-GGA.

CIF file:
```
data_SnP
_chemical_formula_sum 'Sn8 P8'
_cell_length_a 11.6822
_cell_length_b 11.6822
_cell_length_c 4.0069
_cell_angle_alpha 90.00
_cell_angle_beta 90.00
_cell_angle_gamma 90.00
_space_group_name_H-M_alt 'I 4/m'
_space_group_IT_number 87
_space_group_name_Hall '-I 4'
loop_
_atom_site_label
_atom_site_type_symbol
_atom_site_fract_x
_atom_site_fract_y
_atom_site_fract_z
Sn1 Sn 0.1288 0.2959 0.0000
P1 P 0.1006 0.7319 0.0000
```

theoretical density: 3.636 g/cm3
total magnetic moment: 0.000 μB per atom
energy of formation: 0.470 eV/f.u.



Record 3
Here is a geometry-optimized SrTeW2 structure from the Alexandria database. Energies are from PBE-GGA.

CIF file:
```
data_SrTeW2
_chemical_formula_sum 'Sr2 Te2 W4'
_cell_length_a 10.2244
_cell_length_b 3.4709
_cell_length_c 5.6343
_cell_angle_alpha 90.00
_cell_angle_beta 101.67
_cell_angle_gamma 90.00
_space_group_name_H-M_alt 'C 1 2/m 1'
_space_group_IT_number 12
loop_
_space_group_symop_operation_xyz
'x,y,z'
'-x,-y,-z'
'-x,y,-z'
'x,-y,z'
'x+1/2,y+1/2,z'
'-x+1/2,-y+1/2,-z'
'-x+1/2,y+1/2,-z'
'x+1/2,-y+1/2,z'
loop_
_atom_site_label
_atom_site_type_symbol
_atom_site_fract_x
_atom_site_fract_y
_atom_site_fract_z
Sr1 Sr 0.0000 0.0000 0.0000
Te1 Te 0.0000 0.5000 0.5000
W1 W 0.2359 0.0000 0.6502
```

formation energy without anion corrections: 0.697 eV per atom
theoretical density: 9.886 g/cm3
total magnetic moment: 0.000 μB per atom



Record 4
Here is a geometry-optimized CoReW2 structure from the Alexandria database. Energies are from PBE-GGA.

CIF file:
```
data_CoReW2
_chemical_formula_sum 'Co3 Re3 W6'
_cell_length_a 2.7513
_cell_length_b 2.7513
_cell_length_c 27.0281
_cell_angle_alpha 90.00
_cell_angle_beta 90.00
_cell_angle_gamma 120.00
_space_group_name_H-M_alt 'R -3 m'
_space_group_IT_number 166
_space_group_name_Hall '-R 3 2"'
loop_
_atom_site_label
_atom_site_type_symbol
_atom_site_fract_x
_atom_site_fract_y
_atom_site_fract_z
Co1 Co 0.0000 0.0000 0.0000
Re1 Re 0.0000 0.0000 0.5000
W1 W 0.0000 0.0000 0.2546
```

ΔE to the lowest computed polymorph: 0.193 eV per atom
theoretical density: 17.230 g/cm3
total magnetic moment: 0.209 μB per atom
energy of formation: 1.265 eV/f.u.



Record 5
Here is a geometry-optimized CaLa5Y structure from the Alexandria database. Energies are from PBE-GGA.

CIF file:
```
data_CaLa5Y
_chemical_formula_sum 'Ca1 La5 Y1'
_cell_length_a 5.6634
_cell_length_b 5.6634
_cell_length_c 8.6013
_cell_angle_alpha 90.00
_cell_angle_beta 90.00
_cell_angle_gamma 90.00
_space_group_name_H-M_alt 'P 4/m m m'
_space_group_IT_number 123
_space_group_name_Hall '-P 4 2'
loop_
_atom_site_label
_atom_site_type_symbol
_atom_site_fract_x
_atom_site_fract_y
_atom_site_fract_z
Ca1 Ca 0.0000 0.0000 0.0000
La1 La 0.0000 0.5000 0.2870
La2 La 0.5000 0.5000 0.0000
Y1 Y 0.0000 0.0000 0.5000
```

theoretical density: 4.957 g/cm3
total magnetic moment: 0.000 μB per atom
energy of formation: 2.004 eV/f.u.



Record 6
Here is a geometry-optimized Co3PbW structure from the Alexandria database. Energies are from PBE-GGA.

CIF file:
```
data_Co3PbW
_chemical_formula_sum 'Co3 Pb1 W1'
_cell_length_a 4.5426
_cell_length_b 4.5426
_cell_length_c 4.5426
_cell_angle_alpha 90.00
_cell_angle_beta 90.00
_cell_angle_gamma 90.00
_space_group_name_H-M_alt 'P m -3 m'
_space_group_IT_number 221
_space_group_name_Hall '-P 4 2 3'
loop_
_atom_site_label
_atom_site_type_symbol
_atom_site_fract_x
_atom_site_fract_y
_atom_site_fract_z
Co1 Co 0.0000 0.0000 0.5000
Pb1 Pb 0.5000 0.5000 0.5000
W1 W 0.0000 0.0000 0.0000
```

ΔE to the lowest computed polymorph: 0.000 eV per atom
theoretical density: 10.059 g/cm3
total magnetic moment: 0.311 μB per atom
energy of formation: 6.491 eV/f.u.